# 1
The following is a DFT calculation (PBE) of crystalline Sr2Tl9Pb at its relaxed geometry.

Lattice parameters (Å, degrees): 5.2534 5.2534 13.7182 90.00 90.00 90.00
Last column: nearest neighbours and their distance in Å.
Space group P4/mmm (No. 123)
Unique sites:
1 Sr 0.0000 0.0000 0.1739 x2  12 Tl 3.48-3.72
2 Tl 0.0000 0.5000 0.0000 x2  8 Tl 3.41-3.71, 4 Sr 3.55
3 Tl 0.0000 0.5000 0.3404 x4  8 Tl 3.42-3.71, 2 Pb 3.42, 2 Sr 3.48
4 Tl 0.5000 0.5000 0.1585 x2  8 Tl 3.41-3.62, 4 Sr 3.72
5 Tl 0.5000 0.5000 0.5000 x1  8 Tl 3.42, 4 Pb 3.71
6 Pb 0.0000 0.0000 0.5000 x1  12 Tl 3.42-3.71

Summary:
- E: -30.381 eV/cell

---

# 2
The following is a DFT calculation (PBE) of crystalline SrTl2Pb6 at its relaxed geometry.

Lattice parameters (Å, degrees): 7.4581 16.5893 5.0056 90.00 108.79 90.00
Last column: nearest neighbours and their distance in Å.
Space group C2/m (No. 12)
Unique sites:
1 Sr 0.0000 0.0000 0.0000 x2  8 Pb 3.53-3.62, 4 Tl 3.69
2 Tl 0.0000 0.1638 0.5000 x4  8 Pb 3.35-3.71, 2 Sr 3.69
3 Pb 0.1426 0.5000 0.3205 x4  4 Pb 3.20-3.44, 1 Sr 3.53
4 Pb 0.1584 0.3370 0.8371 x8  5 Pb 3.27-3.65, 3 Tl 3.35-3.48, 1 Sr 3.62

Summary:
- E: -58.673 eV/cell

---

# 3
The following is a DFT calculation (PBE) of crystalline Sr4Tl5Pb at its relaxed geometry.

Lattice parameters (Å, degrees): 4.1447 4.1447 19.5421 90.00 90.00 90.00
Last column: nearest neighbours and their distance in Å.
Space group P4/mmm (No. 123)
Unique sites:
1 Sr 0.0000 0.0000 0.1025 x2  8 Tl 3.54-3.55
2 Sr 0.0000 0.0000 0.3103 x2  8 Tl 3.55-3.59, 1 Pb 3.71
3 Tl 0.5000 0.5000 0.0000 x1  8 Sr 3.55
4 Tl 0.5000 0.5000 0.2044 x2  8 Sr 3.54-3.59
5 Tl 0.5000 0.5000 0.4132 x2  4 Pb 3.39, 1 Tl 3.39, 4 Sr 3.55
6 Pb 0.0000 0.0000 0.5000 x1  8 Tl 3.39, 2 Sr 3.71

Summary:
- E: -25.723 eV/cell

---

# 4
The following is a DFT calculation (PBE) of crystalline Sr11Tl9Pb4 at its relaxed geometry.

Lattice parameters (Å, degrees): 16.1128 23.8811 4.3630 90.00 90.00 90.00
Last column: nearest neighbours and their distance in Å.
Space group Cmmm (No. 65)
Unique sites:
1 Sr 0.0000 0.0000 0.0000 x2  8 Tl 3.56
2 Sr 0.0000 0.1733 0.0000 x4  8 Tl 3.58-3.79, 2 Sr 3.77
3 Sr 0.0000 0.3621 0.0000 x4  4 Pb 3.42, 4 Tl 3.66
4 Sr 0.2294 0.5000 0.0000 x4  4 Pb 3.43, 4 Tl 3.65
5 Sr 0.2342 0.1731 0.0000 x8  2 Pb 3.37, 6 Tl 3.56-3.66, 2 Sr 3.71-3.77
6 Tl 0.0000 0.5000 0.5000 x2  4 Pb 3.39
7 Tl 0.1121 0.2647 0.5000 x8  1 Pb 3.35, 8 Sr 3.58-3.66, 1 Tl 3.61
8 Tl 0.1309 0.0779 0.5000 x8  1 Pb 3.52, 8 Sr 3.56-3.79, 1 Tl 3.72
9 Pb 0.1524 0.4024 0.5000 x8  3 Tl 3.35-3.52, 6 Sr 3.37-3.43

Summary:
- E: -128.307 eV/cell

---

# 5
The following is a DFT calculation (PBE) of crystalline Sr3Tl7Pb at its relaxed geometry.

Lattice parameters (Å, degrees): 5.1978 23.4427 12.6717 90.00 90.00 90.00
Last column: nearest neighbours and their distance in Å.
Space group Cmcm (No. 63)
Unique sites:
1 Sr 0.0000 0.1190 0.0663 x8  8 Tl 3.48-3.56
2 Sr 0.0000 0.1984 0.7500 x4  7 Tl 3.51-3.69, 1 Pb 3.73
3 Tl 0.0000 0.2825 0.5205 x8  4 Tl 3.06-3.31
4 Tl 0.0000 0.3499 0.7500 x4  4 Tl 3.31-3.38, 5 Sr 3.55-3.56
5 Tl 0.0000 0.3907 0.1253 x8  3 Tl 3.14-3.16, 2 Pb 3.46
6 Tl 0.0000 0.4753 0.6189 x8  4 Tl 3.14-3.38, 2 Pb 3.43, 2 Sr 3.48
7 Pb 0.0000 0.0392 0.7500 x4  8 Tl 3.43-3.46, 1 Sr 3.73

Summary:
- E: -109.405 eV/cell

---

# 6
The following is a DFT calculation (PBE) of crystalline SrTlPb2 at its relaxed geometry.

Lattice parameters (Å, degrees): 8.0553 8.0553 8.0553 90.00 90.00 90.00
Last column: nearest neighbours and their distance in Å.
Space group F-43m (No. 216)
Unique sites:
1 Sr 0.0000 0.0000 0.0000 x4  4 Tl 3.49, 4 Pb 3.49
2 Tl 0.2500 0.2500 0.2500 x4  4 Pb 3.49, 4 Sr 3.49
3 Pb 0.0000 0.0000 0.5000 x4  4 Tl 3.49, 4 Pb 3.49
4 Pb 0.2500 0.2500 0.7500 x4  4 Pb 3.49, 4 Sr 3.49

Summary:
- E: -49.978 eV/cell

---

# 7
The following is a DFT calculation (PBE) of crystalline Sr2Tl4Pb3 at its relaxed geometry.

Lattice parameters (Å, degrees): 6.7013 17.4631 10.3815 90.00 90.00 90.00
Last column: nearest neighbours and their distance in Å.
Space group Cmce (No. 64)
Unique sites:
1 Sr 0.0000 0.1127 0.0623 x8  7 Tl 3.60-3.84, 4 Pb 3.72-3.94
2 Tl 0.0000 0.1828 0.4833 x8  5 Pb 3.20-3.35
3 Tl 0.2500 0.0504 0.7500 x8  3 Pb 3.19-3.21, 2 Tl 3.35
4 Pb 0.0000 0.0000 0.5000 x4  6 Tl 3.20-3.21
5 Pb 0.2500 0.2333 0.7500 x8  5 Tl 3.19-3.35, 2 Pb 3.35

Summary:
- Energy relative to the lowest polymorph listed for this composition: 54 meV per atom

---

# 8
The following is a DFT calculation (PBE) of crystalline Sr3TlPb2 at its relaxed geometry.

Lattice parameters (Å, degrees): 5.9115 17.8642 3.9784 90.00 90.00 90.00
Last column: nearest neighbours and their distance in Å.
Space group Cmmm (No. 65)
Unique sites:
1 Sr 0.0000 0.0000 0.0000 x2  4 Pb 3.48, 4 Tl 3.56
2 Sr 0.0000 0.3294 0.0000 x4  6 Pb 3.57-3.62, 2 Tl 3.64, 2 Sr 3.98
3 Tl 0.0000 0.5000 0.5000 x2  8 Sr 3.56-3.64, 2 Tl 3.98
4 Pb 0.0000 0.1600 0.5000 x4  8 Sr 3.48-3.62

Summary:
- E: -35.676 eV/cell